Record 1
# AcPm3P4 | the Alexandria database | GGA-PBE | optimized geometry
# - Formation energy: -1.49 eV per atom
# - Total DFT energy (no corrections): -6.492 eV/atom
data_AcPm3P4
_chemical_formula_sum 'Ac1 Pm3 P4'
_space_group_name_H-M_alt 'P m -3 m'
_space_group_IT_number 221
_space_group_name_Hall '-P 4 2 3'
_cell_length_a 5.9667
_cell_length_b 5.9667
_cell_length_c 5.9667
_cell_angle_alpha 90.00
_cell_angle_beta 90.00
_cell_angle_gamma 90.00
loop_
_atom_site_label
_atom_site_type_symbol
_atom_site_fract_x
_atom_site_fract_y
_atom_site_fract_z
Ac1 Ac 0.0000 0.0000 0.0000
Pm1 Pm 0.0000 0.5000 0.5000
P1 P 0.0000 0.0000 0.5000
P2 P 0.5000 0.5000 0.5000



Record 2
# AgSbW2 | the Alexandria database | GGA-PBE | optimized geometry
# - E_form (uncorrected): 520 meV/atom
# - Total DFT energy (no corrections): -7.700 eV/atom
data_AgSbW2
_chemical_formula_sum 'Ag2 Sb2 W4'
_space_group_name_H-M_alt 'C m m 2'
_space_group_IT_number 35
_cell_length_a 3.2695
_cell_length_b 4.8255
_cell_length_c 9.7895
_cell_angle_alpha 90.00
_cell_angle_beta 90.00
_cell_angle_gamma 90.00
loop_
_space_group_symop_operation_xyz
'x,y,z'
'-x,-y,z'
'-x,y,z'
'x,-y,z'
'x+1/2,y+1/2,z'
'-x+1/2,-y+1/2,z'
'-x+1/2,y+1/2,z'
'x+1/2,-y+1/2,z'
loop_
_atom_site_label
_atom_site_type_symbol
_atom_site_fract_x
_atom_site_fract_y
_atom_site_fract_z
Ag1 Ag 0.0000 0.0000 0.0000
Sb1 Sb 0.0000 0.5000 0.7003
W1 W 0.0000 0.0000 0.4483
W2 W 0.0000 0.5000 0.2419



Record 3
# La3BiSe6 | the Alexandria database | GGA-PBE | optimized geometry
# - E_form (uncorrected): -1595 meV/atom
# - Total DFT energy (no corrections): -5.552 eV/atom
data_La3BiSe6
_chemical_formula_sum 'La12 Bi4 Se24'
_space_group_name_H-M_alt 'C m c 21'
_space_group_IT_number 36
_cell_length_a 11.5857
_cell_length_b 14.5797
_cell_length_c 7.3908
_cell_angle_alpha 90.00
_cell_angle_beta 90.00
_cell_angle_gamma 90.00
loop_
_space_group_symop_operation_xyz
'x,y,z'
'-x,-y,z+1/2'
'-x,y,z'
'x,-y,z+1/2'
'x+1/2,y+1/2,z'
'-x+1/2,-y+1/2,z+1/2'
'-x+1/2,y+1/2,z'
'x+1/2,-y+1/2,z+1/2'
loop_
_atom_site_label
_atom_site_type_symbol
_atom_site_fract_x
_atom_site_fract_y
_atom_site_fract_z
La1 La 0.0000 0.0980 0.0000
La2 La 0.1856 0.3995 0.0916
Bi1 Bi 0.0000 0.3243 0.6138
Se1 Se 0.0000 0.2697 0.2387
Se2 Se 0.0000 0.4915 0.8513
Se3 Se 0.1636 0.0280 0.2941
Se4 Se 0.1695 0.2368 0.8092



Record 4
# La6TbCeSm2 | the Alexandria database | GGA-PBE | optimized geometry
# - Formation energy: 0.21 eV per atom
# - Total DFT energy (no corrections): -4.748 eV/atom
data_La6TbCeSm2
_chemical_formula_sum 'La12 Tb2 Ce2 Sm4'
_space_group_name_H-M_alt 'C 1 2/m 1'
_space_group_IT_number 12
_cell_length_a 11.4342
_cell_length_b 7.1642
_cell_length_c 9.0193
_cell_angle_alpha 90.00
_cell_angle_beta 104.40
_cell_angle_gamma 90.00
loop_
_space_group_symop_operation_xyz
'x,y,z'
'-x,-y,-z'
'-x,y,-z'
'x,-y,z'
'x+1/2,y+1/2,z'
'-x+1/2,-y+1/2,-z'
'-x+1/2,y+1/2,-z'
'x+1/2,-y+1/2,z'
loop_
_atom_site_label
_atom_site_type_symbol
_atom_site_fract_x
_atom_site_fract_y
_atom_site_fract_z
La1 La 0.1260 0.0000 0.4147
La2 La 0.1745 0.2661 0.7948
Tb1 Tb 0.0000 0.5000 0.5000
Ce1 Ce 0.0000 0.0000 0.0000
Sm1 Sm 0.0928 0.5000 0.1634



Record 5
# NdZrNi2P2 | the Alexandria database | GGA-PBE | optimized geometry
# - Formation energy: -1.13 eV per atom
# - Total DFT energy (no corrections): -7.084 eV/atom
data_NdZrNi2P2
_chemical_formula_sum 'Nd1 Zr1 Ni2 P2'
_space_group_name_H-M_alt 'P -3 m 1'
_space_group_IT_number 164
_space_group_name_Hall '-P 3 2"'
_cell_length_a 3.8562
_cell_length_b 3.8562
_cell_length_c 7.7506
_cell_angle_alpha 90.00
_cell_angle_beta 90.00
_cell_angle_gamma 120.00
loop_
_atom_site_label
_atom_site_type_symbol
_atom_site_fract_x
_atom_site_fract_y
_atom_site_fract_z
Nd1 Nd 0.0000 0.0000 0.0000
Zr1 Zr 0.0000 0.0000 0.5000
Ni1 Ni 0.3333 0.6667 0.7227
P1 P 0.3333 0.6667 0.2683



Record 6
# Mg2AgRu | the Alexandria database | GGA-PBE | optimized geometry
# - Formation energy: 0.04 eV per atom
# - Total DFT energy (no corrections): -3.784 eV/atom
data_Mg2AgRu
_chemical_formula_sum 'Mg4 Ag2 Ru2'
_space_group_name_H-M_alt 'I m m 2'
_space_group_IT_number 44
_cell_length_a 3.2414
_cell_length_b 4.4419
_cell_length_c 9.4380
_cell_angle_alpha 90.00
_cell_angle_beta 90.00
_cell_angle_gamma 90.00
loop_
_space_group_symop_operation_xyz
'x,y,z'
'-x,-y,z'
'-x,y,z'
'x,-y,z'
'x+1/2,y+1/2,z+1/2'
'-x+1/2,-y+1/2,z+1/2'
'-x+1/2,y+1/2,z+1/2'
'x+1/2,-y+1/2,z+1/2'
loop_
_atom_site_label
_atom_site_type_symbol
_atom_site_fract_x
_atom_site_fract_y
_atom_site_fract_z
Mg1 Mg 0.0000 0.0000 0.0000
Mg2 Mg 0.0000 0.5000 0.2313
Ag1 Ag 0.0000 0.0000 0.4829
Ru1 Ru 0.0000 0.5000 0.7373